Run 1
Below is an optimized crystal structure of Na3VSi, with properties calculated at the PBE level.

## Properties
For the density of states at the Fermi level, the calculation gives 1.808 states/eV per atom.

The structure in CIF format:
```
data_Na3VSi
_cell_length_a 5.4916
_cell_length_b 5.4916
_cell_length_c 5.4916
_cell_angle_alpha 90.00
_cell_angle_beta 90.00
_cell_angle_gamma 90.00
_symmetry_space_group_name_H-M 'P m -3 m'
_symmetry_Int_Tables_number 221
_symmetry_space_group_name_Hall '-P 4 2 3'
loop_
_atom_site_label
_atom_site_type_symbol
_atom_site_fract_x
_atom_site_fract_y
_atom_site_fract_z
_atom_site_occupancy
Na1 Na 0.0000 0.0000 0.5000 1
V1 V 0.0000 0.0000 0.0000 1
Si1 Si 0.5000 0.5000 0.5000 1
```

***

Run 2
Below is an optimized crystal structure of Na3VSi, with properties calculated at the PBE level.

## Properties
For the density of states at the Fermi level, the calculation gives 1.735 states/eV per atom.

The structure in CIF format:
```
data_Na3VSi
_cell_length_a 5.4876
_cell_length_b 5.4876
_cell_length_c 5.4876
_cell_angle_alpha 90.00
_cell_angle_beta 90.00
_cell_angle_gamma 90.00
_symmetry_space_group_name_H-M 'P m -3 m'
_symmetry_Int_Tables_number 221
_symmetry_space_group_name_Hall '-P 4 2 3'
loop_
_atom_site_label
_atom_site_type_symbol
_atom_site_fract_x
_atom_site_fract_y
_atom_site_fract_z
_atom_site_occupancy
Na1 Na 0.0000 0.0000 0.5000 1
V1 V 0.5000 0.5000 0.5000 1
Si1 Si 0.0000 0.0000 0.0000 1
```

***

Relative energy of each structure, in kJ/mol of atoms: run 1 32.6; run 2 0.0.

***

Run 1
Below is an optimized crystal structure of NaSiW, with properties calculated at the PBE level.

## Properties
For the density of states at the Fermi level, the calculation gives 0.401 states/eV per atom.

The structure in CIF format:
```
data_NaSiW
_cell_length_a 8.7433
_cell_length_b 3.3658
_cell_length_c 8.0243
_cell_angle_alpha 90.00
_cell_angle_beta 102.51
_cell_angle_gamma 90.00
_symmetry_space_group_name_H-M 'C 1 2/m 1'
_symmetry_Int_Tables_number 12
_symmetry_space_group_name_Hall '-C 2y'
loop_
_atom_site_label
_atom_site_type_symbol
_atom_site_fract_x
_atom_site_fract_y
_atom_site_fract_z
_atom_site_occupancy
Na1 Na 0.1568 0.0000 0.1065 1
Si1 Si 0.0970 0.0000 0.6677 1
W1 W 0.1379 0.5000 0.4297 1
```

***

Run 2
Below is an optimized crystal structure of NaSiW, with properties calculated at the PBE level.

## Properties
For the density of states at the Fermi level, the calculation gives 0.692 states/eV per atom.

The structure in CIF format:
```
data_NaSiW
_cell_length_a 3.1977
_cell_length_b 3.1977
_cell_length_c 11.4783
_cell_angle_alpha 90.00
_cell_angle_beta 90.00
_cell_angle_gamma 90.00
_symmetry_space_group_name_H-M 'P 4/n m m'
_symmetry_Int_Tables_number 129
loop_
_symmetry_equiv_pos_as_xyz
'x,y,z'
'-x,-y,-z'
'-y+1/2,x,z'
'y+1/2,-x,-z'
'-x+1/2,-y+1/2,z'
'x+1/2,y+1/2,-z'
'y,-x+1/2,z'
'-y,x+1/2,-z'
'x+1/2,-y,-z'
'-x+1/2,y,z'
'-y,-x,-z'
'y,x,z'
'-x,y+1/2,-z'
'x,-y+1/2,z'
'y+1/2,x+1/2,-z'
'-y+1/2,-x+1/2,z'
loop_
_atom_site_label
_atom_site_type_symbol
_atom_site_fract_x
_atom_site_fract_y
_atom_site_fract_z
_atom_site_occupancy
Na1 Na 0.2500 0.2500 0.1315 1
Si1 Si 0.2500 0.2500 0.6831 1
W1 W 0.2500 0.2500 0.4325 1
```

***

Relative energy of each structure, in kJ/mol of atoms: run 1 8.2; run 2 0.0.

***

Run 1
Below is an optimized crystal structure of NaSiW, with properties calculated at the PBE level.

## Properties
For the density of states at the Fermi level, the calculation gives 0.411 states/eV per atom.

The structure in CIF format:
```
data_NaSiW
_cell_length_a 3.0765
_cell_length_b 4.1433
_cell_length_c 10.7327
_cell_angle_alpha 90.00
_cell_angle_beta 97.96
_cell_angle_gamma 90.00
_symmetry_space_group_name_H-M 'P 1 21/m 1'
_symmetry_Int_Tables_number 11
_symmetry_space_group_name_Hall '-P 2yb'
loop_
_atom_site_label
_atom_site_type_symbol
_atom_site_fract_x
_atom_site_fract_y
_atom_site_fract_z
_atom_site_occupancy
Na1 Na 0.1725 0.2500 0.3580 1
Si1 Si 0.0609 0.7500 0.1264 1
W1 W 0.4636 0.7500 0.9245 1
```

***

Run 2
Below is an optimized crystal structure of NaSiW, with properties calculated at the PBE level.

## Properties
For the density of states at the Fermi level, the calculation gives 0.369 states/eV per atom.

The structure in CIF format:
```
data_NaSiW
_cell_length_a 2.7592
_cell_length_b 4.4039
_cell_length_c 10.2020
_cell_angle_alpha 84.01
_cell_angle_beta 89.88
_cell_angle_gamma 89.98
_symmetry_space_group_name_H-M 'P -1'
_symmetry_Int_Tables_number 2
_symmetry_space_group_name_Hall '-P 1'
loop_
_atom_site_label
_atom_site_type_symbol
_atom_site_fract_x
_atom_site_fract_y
_atom_site_fract_z
_atom_site_occupancy
Na1 Na 0.2459 0.2785 0.3701 1
Si1 Si 0.2515 0.6343 0.8946 1
W1 W 0.2484 0.8581 0.1164 1
```

***

Run 3
Below is an optimized crystal structure of NaSiW, with properties calculated at the PBE level.

## Properties
For the density of states at the Fermi level, the calculation gives 0.264 states/eV per atom.

The structure in CIF format:
```
data_NaSiW
_cell_length_a 8.7758
_cell_length_b 3.3727
_cell_length_c 7.8640
_cell_angle_alpha 90.00
_cell_angle_beta 106.36
_cell_angle_gamma 90.00
_symmetry_space_group_name_H-M 'C 1 2/m 1'
_symmetry_Int_Tables_number 12
_symmetry_space_group_name_Hall '-C 2y'
loop_
_atom_site_label
_atom_site_type_symbol
_atom_site_fract_x
_atom_site_fract_y
_atom_site_fract_z
_atom_site_occupancy
Na1 Na 0.1587 0.0000 0.0932 1
Si1 Si 0.0185 0.5000 0.3279 1
W1 W 0.1713 0.0000 0.5732 1
```

***

Run 4
Below is an optimized crystal structure of NaSiW, with properties calculated at the PBE level.

## Properties
For the density of states at the Fermi level, the calculation gives 0.614 states/eV per atom.

The structure in CIF format:
```
data_NaSiW
_cell_length_a 2.8173
_cell_length_b 4.0944
_cell_length_c 10.9506
_cell_angle_alpha 90.00
_cell_angle_beta 92.88
_cell_angle_gamma 90.00
_symmetry_space_group_name_H-M 'P 1 m 1'
_symmetry_Int_Tables_number 6
_symmetry_space_group_name_Hall 'P -2y'
loop_
_atom_site_label
_atom_site_type_symbol
_atom_site_fract_x
_atom_site_fract_y
_atom_site_fract_z
_atom_site_occupancy
Na1 Na 0.0000 0.0000 0.0000 1
Na2 Na 0.4275 0.5000 0.7353 1
Si1 Si 0.0966 0.0000 0.2700 1
Si2 Si 0.8312 0.0000 0.5256 1
W1 W 0.2921 0.5000 0.4433 1
W2 W 0.5700 0.5000 0.2275 1
```

***

Relative energy of each structure, in kJ/mol of atoms: run 1 5.7; run 2 9.9; run 3 0.0; run 4 11.1.

***

Run 1
Below is an optimized crystal structure of NaSiW3, with properties calculated at the PBE level.

## Properties
For the density of states at the Fermi level, the calculation gives 1.531 states/eV per atom.

The structure in CIF format:
```
data_NaSiW3
_cell_length_a 4.4942
_cell_length_b 4.4942
_cell_length_c 4.4942
_cell_angle_alpha 90.00
_cell_angle_beta 90.00
_cell_angle_gamma 90.00
_symmetry_space_group_name_H-M 'P m -3 m'
_symmetry_Int_Tables_number 221
_symmetry_space_group_name_Hall '-P 4 2 3'
loop_
_atom_site_label
_atom_site_type_symbol
_atom_site_fract_x
_atom_site_fract_y
_atom_site_fract_z
_atom_site_occupancy
Na1 Na 0.0000 0.0000 0.0000 1
Si1 Si 0.5000 0.5000 0.5000 1
W1 W 0.0000 0.0000 0.5000 1
```

***

Run 2
Below is an optimized crystal structure of NaSiW3, with properties calculated at the PBE level.

## Properties
For the density of states at the Fermi level, the calculation gives 1.535 states/eV per atom.

The structure in CIF format:
```
data_NaSiW3
_cell_length_a 4.5960
_cell_length_b 4.5960
_cell_length_c 4.5960
_cell_angle_alpha 90.00
_cell_angle_beta 90.00
_cell_angle_gamma 90.00
_symmetry_space_group_name_H-M 'P m -3 m'
_symmetry_Int_Tables_number 221
_symmetry_space_group_name_Hall '-P 4 2 3'
loop_
_atom_site_label
_atom_site_type_symbol
_atom_site_fract_x
_atom_site_fract_y
_atom_site_fract_z
_atom_site_occupancy
Na1 Na 0.0000 0.0000 0.0000 1
Si1 Si 0.5000 0.5000 0.5000 1
W1 W 0.0000 0.5000 0.5000 1
```

***

Relative energy of each structure, in kJ/mol of atoms: run 1 149.0; run 2 0.0.

***

Run 1
Below is an optimized crystal structure of NaYSi3, with properties calculated at the PBE level.

## Properties
For the density of states at the Fermi level, the calculation gives 0.439 states/eV per atom.

The structure in CIF format:
```
data_NaYSi3
_cell_length_a 5.3688
_cell_length_b 5.3688
_cell_length_c 5.3688
_cell_angle_alpha 90.00
_cell_angle_beta 90.00
_cell_angle_gamma 90.00
_symmetry_space_group_name_H-M 'P m -3 m'
_symmetry_Int_Tables_number 221
_symmetry_space_group_name_Hall '-P 4 2 3'
loop_
_atom_site_label
_atom_site_type_symbol
_atom_site_fract_x
_atom_site_fract_y
_atom_site_fract_z
_atom_site_occupancy
Na1 Na 0.0000 0.0000 0.0000 1
Y1 Y 0.5000 0.5000 0.5000 1
Si1 Si 0.0000 0.5000 0.5000 1
```

***

Run 2
Below is an optimized crystal structure of NaYSi3, with properties calculated at the PBE level.

## Properties
For the density of states at the Fermi level, the calculation gives 0.679 states/eV per atom.

The structure in CIF format:
```
data_NaYSi3
_cell_length_a 4.8293
_cell_length_b 4.8293
_cell_length_c 4.8293
_cell_angle_alpha 90.00
_cell_angle_beta 90.00
_cell_angle_gamma 90.00
_symmetry_space_group_name_H-M 'P m -3 m'
_symmetry_Int_Tables_number 221
_symmetry_space_group_name_Hall '-P 4 2 3'
loop_
_atom_site_label
_atom_site_type_symbol
_atom_site_fract_x
_atom_site_fract_y
_atom_site_fract_z
_atom_site_occupancy
Na1 Na 0.0000 0.0000 0.0000 1
Y1 Y 0.5000 0.5000 0.5000 1
Si1 Si 0.0000 0.0000 0.5000 1
```

***

Relative energy of each structure, in kJ/mol of atoms: run 1 0.0; run 2 6.9.

***

Run 1
Below is an optimized crystal structure of NaY3Si, with properties calculated at the PBE level.

## Properties
For the density of states at the Fermi level, the calculation gives 1.400 states/eV per atom.

The structure in CIF format:
```
data_NaY3Si
_cell_length_a 5.5395
_cell_length_b 5.5395
_cell_length_c 5.5395
_cell_angle_alpha 90.00
_cell_angle_beta 90.00
_cell_angle_gamma 90.00
_symmetry_space_group_name_H-M 'P m -3 m'
_symmetry_Int_Tables_number 221
_symmetry_space_group_name_Hall '-P 4 2 3'
loop_
_atom_site_label
_atom_site_type_symbol
_atom_site_fract_x
_atom_site_fract_y
_atom_site_fract_z
_atom_site_occupancy
Na1 Na 0.0000 0.0000 0.0000 1
Y1 Y 0.0000 0.5000 0.5000 1
Si1 Si 0.5000 0.5000 0.5000 1
```

***

Run 2
Below is an optimized crystal structure of NaY3Si, with properties calculated at the PBE level.

## Properties
For the density of states at the Fermi level, the calculation gives 1.223 states/eV per atom.

The structure in CIF format:
```
data_NaY3Si
_cell_length_a 5.3422
_cell_length_b 5.3422
_cell_length_c 5.3422
_cell_angle_alpha 90.00
_cell_angle_beta 90.00
_cell_angle_gamma 90.00
_symmetry_space_group_name_H-M 'P m -3 m'
_symmetry_Int_Tables_number 221
_symmetry_space_group_name_Hall '-P 4 2 3'
loop_
_atom_site_label
_atom_site_type_symbol
_atom_site_fract_x
_atom_site_fract_y
_atom_site_fract_z
_atom_site_occupancy
Na1 Na 0.0000 0.0000 0.0000 1
Y1 Y 0.0000 0.0000 0.5000 1
Si1 Si 0.5000 0.5000 0.5000 1
```

***

Relative energy of each structure, in kJ/mol of atoms: run 1 0.0; run 2 94.1.